Entry 1:
First-principles (PBE-GGA) data for an optimized crystal structure of GdTmAlRu, as listed in the Alexandria database.

Geometry as extended XYZ:
```
4
Lattice="0.000 3.494 3.494 3.494 0.000 3.494 3.494 3.494 0.000" Properties=species:S:1:pos:R:3 pbc="T T T"
Gd 0.000 0.000 0.000
Tm 3.494 3.494 3.494
Al 5.241 5.241 5.241
Ru 1.747 1.747 1.747
```

Output
formation energy	-0.35	eV per atom
calculated density	8.84	g/cm³
DFT total energy	-8.2475	eV per atom

=====

Entry 2:
First-principles (PBE-GGA) data for an optimized crystal structure of GdYAlRu, as listed in the Alexandria database.

Geometry as extended XYZ:
```
4
Lattice="0.000 3.523 3.523 3.523 0.000 3.523 3.523 3.523 0.000" Properties=species:S:1:pos:R:3 pbc="T T T"
Gd 0.000 0.000 0.000
Y 3.523 3.523 3.523
Al 5.285 5.285 5.285
Ru 1.762 1.762 1.762
```

Output
formation energy	-0.33	eV per atom
calculated density	7.10	g/cm³
DFT total energy	-8.7196	eV per atom